# SbH3Ru

A geometry-optimized SbH3Ru structure (PBE-GGA, Alexandria via LeMat-Bulk).

a b c (Å): 3.649 3.649 3.649
angles (deg): 90.00 90.00 90.00
Positions (direct):
Sb1 0.000 0.000 0.000
H1 0.000 0.500 0.500
H2 0.500 0.000 0.500
H3 0.500 0.500 0.000
Ru1 0.500 0.500 0.500

Values from the calculation:
* spin magnetization: 0.00 μB/f.u.
* E above lowest polymorph: 0 meV per atom
* E_tot: -4.39 eV/atom
* space group: No. 221

# NaAs2HSe

A geometry-optimized NaAs2HSe structure (PBE-GGA, Alexandria via LeMat-Bulk).

a b c (Å): 4.143 4.143 5.158
angles (deg): 90.00 90.00 90.00
Positions (direct):
Na1 0.000 0.000 0.000
As1 0.000 0.500 0.500
As2 0.500 0.000 0.500
H1 0.500 0.500 0.500
Se1 0.500 0.500 0.000

Values from the calculation:
* spin magnetization: 0.00 μB/f.u.
* E above lowest polymorph: 0 meV per atom
* E_tot: -3.26 eV/atom
* space group: No. 123